1.
Computed, not measured: an optimized crystal structure of NbNiH3 at the GGA-PBEsol level of DFT.

Cell: 3.2600 3.2600 3.2600 Å, 90.00 90.00 90.00°
Last column: nearest neighbours and their distance in Å.
Fractional coordinates of all 5 atoms:
Nb 0.0000 0.0000 0.0000  12 H 2.31
Ni 0.5000 0.5000 0.5000  6 H 1.63
H 0.0000 0.5000 0.5000  2 Ni 1.63
H 0.5000 0.0000 0.5000  2 Ni 1.63
H 0.5000 0.5000 0.0000  2 Ni 1.63

* total DFT energy (no corrections): -5.50 eV per atom
* ρ: 7.41 g/cm³


2.
Computed, not measured: an optimized crystal structure of NbNiHPt2 at the GGA-PBEsol level of DFT.

Cell: 4.8501 4.8501 3.2794 Å, 90.00 90.00 90.00°
Last column: nearest neighbours and their distance in Å.
Fractional coordinates of all 5 atoms:
Nb 0.0000 0.0000 0.0000  2 H 1.64
Ni 0.5000 0.5000 0.5000  8 Pt 2.93
H 0.0000 0.0000 0.5000  2 Nb 1.64
Pt 0.0000 0.5000 0.0000  2 Nb 2.43
Pt 0.5000 0.0000 0.0000  2 Nb 2.43

* total DFT energy (no corrections): -6.02 eV per atom
* ρ: 11.68 g/cm³


Look up the ρ of the second one.
11.68 g/cm³


Which of these has the lowest ρ?
NbNiH3


Please write out number 1 again, unchanged.
Computed, not measured: an optimized crystal structure of NbNiH3 at the GGA-PBEsol level of DFT.

Cell: 3.2600 3.2600 3.2600 Å, 90.00 90.00 90.00°
Last column: nearest neighbours and their distance in Å.
Fractional coordinates of all 5 atoms:
Nb 0.0000 0.0000 0.0000  12 H 2.31
Ni 0.5000 0.5000 0.5000  6 H 1.63
H 0.0000 0.5000 0.5000  2 Ni 1.63
H 0.5000 0.0000 0.5000  2 Ni 1.63
H 0.5000 0.5000 0.0000  2 Ni 1.63

* total DFT energy (no corrections): -5.50 eV per atom
* ρ: 7.41 g/cm³


ρ of number 2 (NbNiHPt2)?
11.68 g/cm³